No. 1
A plane-wave DFT calculation with PBE was carried out for a geometry-optimized YPaIr structure.

Structure (POSCAR):
```
YPaIr
1.0
4.799 0.000 0.000
2.399 4.156 0.000
2.399 1.385 3.918
Ir Y Pa
1 1 1
Cartesian
2.399 1.385 0.980 Ir
0.000 0.000 0.000 Y
4.799 2.771 1.959 Pa
```

- ρ: 10.883 g/cm3
- ΔE to the lowest computed polymorph: 0.1716 eV/atom
- Symmetry: F-43m (216)
- Electronic total energy: -8.6013 eV/atom
- ΔH_f (0 K): -327.7 meV/atom

***

No. 2
A plane-wave DFT calculation with PBE was carried out for a geometry-optimized Y3PaIr3 structure.

Structure (POSCAR):
```
Y3PaIr3
1.0
-6.130 -1.096 -4.264
-2.013 -7.254 -0.539
-6.167 -1.700 4.005
Y Pa Ir
6 2 6
Cartesian
-4.712 -6.730 0.532 Y
-6.546 -3.822 -3.214 Y
-6.702 -7.353 -2.428 Y
-7.763 -6.227 2.416 Y
-7.606 -2.697 1.629 Y
-9.597 -3.320 -1.330 Y
-4.664 -3.276 -0.260 Pa
-9.645 -6.774 -0.538 Pa
-7.031 -1.858 -1.205 Ir
-5.434 -4.412 2.313 Ir
-7.278 -8.192 0.407 Ir
-8.875 -5.638 -3.111 Ir
-9.926 -4.487 1.250 Ir
-4.382 -5.563 -2.048 Ir
```

- ρ: 10.272 g/cm3
- Symmetry: R-3 (148)
- Electronic total energy: -8.6833 eV/atom
- ΔH_f (0 K): -758.8 meV/atom

***

No. 3
A plane-wave DFT calculation with PBE was carried out for a geometry-optimized YPa2Ir structure.

Structure (POSCAR):
```
YPa2Ir
1.0
-2.954 0.269 2.173
0.295 -0.699 3.598
1.061 8.675 3.478
Y Pa Ir
1 2 1
Cartesian
-0.799 4.122 4.624 Y
-1.096 6.650 7.019 Pa
-0.503 1.595 2.230 Pa
0.000 0.000 0.000 Ir
```

- ρ: 11.503 g/cm3
- Symmetry: R-3m (166)
- Electronic total energy: -8.7290 eV/atom
- ΔH_f (0 K): -149.8 meV/atom

***

No. 4
A plane-wave DFT calculation with PBE was carried out for a geometry-optimized Y5PaIr6 structure.

Structure (POSCAR):
```
Y5PaIr6
1.0
-0.452 4.215 -2.336
-6.821 0.184 1.653
1.354 5.700 4.952
Y Pa Ir
5 1 6
Cartesian
-6.234 6.762 3.341 Y
0.315 3.338 0.928 Y
-3.411 0.092 0.827 Y
-2.812 6.696 2.560 Y
-3.107 3.404 1.709 Y
0.000 0.000 0.000 Pa
-0.808 4.611 3.426 Ir
-1.618 5.394 -0.003 Ir
-4.301 4.706 4.272 Ir
-5.460 2.249 0.100 Ir
-1.814 2.150 -0.783 Ir
-5.111 5.488 0.844 Ir
```

- ρ: 12.292 g/cm3
- Symmetry: P2/m (10)
- Electronic total energy: -8.7166 eV/atom
- ΔH_f (0 K): -801.4 meV/atom

***

No. 5
A plane-wave DFT calculation with PBE was carried out for a geometry-optimized YPaIr structure.

Structure (POSCAR):
```
YPaIr
1.0
4.180 0.000 0.000
2.090 3.620 0.000
2.090 1.207 10.343
Y Ir Pa
2 2 2
Cartesian
4.180 2.413 9.001 Y
4.180 2.413 1.342 Y
2.090 1.207 2.817 Ir
6.270 3.620 7.526 Ir
6.270 3.620 4.162 Pa
2.090 1.207 6.181 Pa
```

- ρ: 10.869 g/cm3
- ΔE to the lowest computed polymorph: 0.0063 eV/atom
- Symmetry: R-3m (166)
- Electronic total energy: -8.7666 eV/atom
- ΔH_f (0 K): -492.9 meV/atom

***

No. 6
A plane-wave DFT calculation with PBE was carried out for a geometry-optimized YPa3Ir2 structure.

Structure (POSCAR):
```
YPa3Ir2
1.0
4.682 0.000 0.000
-2.341 8.636 0.003
0.000 -3.760 6.690
Pa Y Ir
6 2 4
Cartesian
0.000 3.151 3.818 Pa
0.000 5.419 1.943 Pa
2.341 -0.543 4.750 Pa
2.341 1.725 2.875 Pa
2.341 5.417 3.856 Pa
0.000 -0.542 2.836 Pa
2.341 2.958 6.343 Y
0.000 1.918 0.350 Y
2.341 -0.470 1.252 Ir
0.000 1.015 5.679 Ir
0.000 5.346 5.441 Ir
2.341 3.861 1.014 Ir
```

- ρ: 14.318 g/cm3
- Symmetry: C2/m (12)
- Electronic total energy: -9.2514 eV/atom
- ΔH_f (0 K): -472.4 meV/atom

***

No. 7
A plane-wave DFT calculation with PBE was carried out for a geometry-optimized YPaIr structure.

Structure (POSCAR):
```
YPaIr
1.0
3.590 0.000 0.000
0.000 3.590 0.000
-1.795 -1.795 5.464
Y Pa Ir
1 1 1
Cartesian
0.000 0.000 0.068 Y
0.000 0.000 3.309 Pa
1.795 1.795 2.087 Ir
```

- ρ: 12.077 g/cm3
- ΔE to the lowest computed polymorph: 0.0000 eV/atom
- Symmetry: I4mm (107)
- Electronic total energy: -8.7729 eV/atom
- ΔH_f (0 K): -499.2 meV/atom

***

No. 8
A plane-wave DFT calculation with PBE was carried out for a geometry-optimized YbPaIr2 structure.

Structure (POSCAR):
```
YbPaIr2
1.0
-4.784 -0.347 0.805
-2.887 -2.031 -3.345
-2.015 -4.345 0.843
Yb Ir Pa
1 2 1
Cartesian
0.000 0.000 0.000 Yb
-7.265 -5.042 -1.273 Ir
-2.422 -1.681 -0.424 Ir
-4.843 -3.361 -0.849 Pa
```

- ρ: 16.100 g/cm3
- Symmetry: Fm-3m (225)
- Electronic total energy: -7.8418 eV/atom
- ΔH_f (0 K): -655.8 meV/atom